# Li2Tb2ThPb2

A geometry-optimized Li2Tb2ThPb2 structure (PBE, Alexandria via LeMat-Bulk).

Lattice parameters (Å, degrees): 4.8936 4.8936 9.4061 74.92 74.92 60.00
Positions (direct):
Li 0.5903 0.5903 0.2290
Li 0.4097 0.4097 0.7710
Tb 0.1293 0.1293 0.6121
Tb 0.8707 0.8707 0.3879
Th 0.0000 0.0000 0.0000
Pb 0.7372 0.7372 0.7883
Pb 0.2628 0.2628 0.2117

Summary:
For the energy of formation, the calculation gives -0.2354 eV/atom. The value obtained for the uncorrected energy is -4.225 eV per atom. As for the crystal system: trigonal.

=====

# Li2TbTh2Pb2

A geometry-optimized Li2TbTh2Pb2 structure (PBE, Alexandria via LeMat-Bulk).

Lattice parameters (Å, degrees): 4.8696 4.8696 9.5590 75.24 75.24 60.00
Positions (direct):
Li 0.5986 0.5986 0.2042
Li 0.4014 0.4014 0.7958
Tb 0.0000 0.0000 0.0000
Th 0.1307 0.1307 0.6079
Th 0.8693 0.8693 0.3921
Pb 0.7317 0.7317 0.8050
Pb 0.2683 0.2683 0.1950

Summary:
For the energy of formation, the calculation gives -0.1384 eV/atom. The value obtained for the uncorrected energy is -4.526 eV per atom. As for the crystal system: trigonal.

=====

# LiTbTlPb

A geometry-optimized LiTbTlPb structure (PBE, Alexandria via LeMat-Bulk).

Lattice parameters (Å, degrees): 5.2628 5.2628 5.2628 60.00 60.00 60.00
Positions (direct):
Pb 0.2500 0.2500 0.2500
Tl 0.7500 0.7500 0.7500
Tb 0.5000 0.5000 0.5000
Li 0.0000 0.0000 0.0000

Summary:
For the energy of formation, the calculation gives -0.3162 eV/atom. The calculation puts the energy above the most stable polymorph in this dataset at 40.9 meV/atom. The value obtained for the uncorrected energy is -3.471 eV per atom. As for the crystal system: cubic.

=====

# LiTbTlPb

A geometry-optimized LiTbTlPb structure (PBE, Alexandria via LeMat-Bulk).

Lattice parameters (Å, degrees): 4.4278 4.6976 4.8398 90.00 90.00 90.00
Positions (direct):
Li 0.0000 0.0000 0.0000
Tb 0.0000 0.5000 0.5000
Tl 0.5000 0.5000 0.0000
Pb 0.5000 0.0000 0.5000

Summary:
For the energy of formation, the calculation gives -0.3571 eV/atom. The calculation puts the energy above the most stable polymorph in this dataset at 0.0 meV/atom. The value obtained for the uncorrected energy is -3.512 eV per atom. As for the crystal system: orthorhombic.

=====

# Li2Tb2TmPb2

A geometry-optimized Li2Tb2TmPb2 structure (PBE, Alexandria via LeMat-Bulk).

Lattice parameters (Å, degrees): 4.8224 4.8224 9.3317 75.03 75.03 60.00
Positions (direct):
Li 0.6015 0.6015 0.1956
Li 0.3985 0.3985 0.8044
Tb 0.1281 0.1281 0.6158
Tb 0.8719 0.8719 0.3842
Tm 0.0000 0.0000 0.0000
Pb 0.7341 0.7341 0.7976
Pb 0.2659 0.2659 0.2024

Summary:
For the energy of formation, the calculation gives -0.2906 eV/atom. The value obtained for the uncorrected energy is -3.859 eV per atom. As for the crystal system: trigonal.

=====

# LiTbYPb

A geometry-optimized LiTbYPb structure (PBE, Alexandria via LeMat-Bulk).

Lattice parameters (Å, degrees): 5.2919 5.2919 5.2919 60.00 60.00 60.00
Positions (direct):
Pb 0.0000 0.0000 0.0000
Y 0.7500 0.7500 0.7500
Tb 0.2500 0.2500 0.2500
Li 0.5000 0.5000 0.5000

Summary:
For the energy of formation, the calculation gives -0.2935 eV/atom. The value obtained for the uncorrected energy is -4.473 eV per atom. As for the crystal system: cubic.

=====

# Li2Tb2YPb2

A geometry-optimized Li2Tb2YPb2 structure (PBE, Alexandria via LeMat-Bulk).

Lattice parameters (Å, degrees): 4.8316 4.8316 9.3994 75.11 75.11 60.00
Positions (direct):
Li 0.5975 0.5975 0.2074
Li 0.4025 0.4025 0.7926
Tb 0.1289 0.1289 0.6132
Tb 0.8711 0.8711 0.3868
Y 0.0000 0.0000 0.0000
Pb 0.7355 0.7355 0.7935
Pb 0.2645 0.2645 0.2065

Summary:
For the energy of formation, the calculation gives -0.3191 eV/atom. The value obtained for the uncorrected energy is -4.172 eV per atom. As for the crystal system: trigonal.

=====

# LiTbZnPb

A geometry-optimized LiTbZnPb structure (PBE, Alexandria via LeMat-Bulk).

Lattice parameters (Å, degrees): 5.0638 5.0638 5.0638 60.00 60.00 60.00
Positions (direct):
Pb 0.5000 0.5000 0.5000
Zn 0.0000 0.0000 0.0000
Tb 0.2500 0.2500 0.2500
Li 0.7500 0.7500 0.7500

Summary:
For the energy of formation, the calculation gives -0.3338 eV/atom. The value obtained for the uncorrected energy is -3.215 eV per atom. As for the crystal system: cubic.

=====

# LiTcPb

A geometry-optimized LiTcPb structure (PBE, Alexandria via LeMat-Bulk).

Lattice parameters (Å, degrees): 5.0106 5.0106 5.0106 139.68 139.68 58.34
Positions (direct):
Li 0.0081 0.0081 0.0000
Pb 0.3309 0.3309 0.0000
Tc 0.6609 0.6609 0.0000

Summary:
For the energy of formation, the calculation gives 0.4460 eV/atom. The calculation puts the energy above the most stable polymorph in this dataset at 20.4 meV/atom. The value obtained for the uncorrected energy is -4.883 eV per atom. As for the crystal system: tetragonal.

=====

# LiTcPb

A geometry-optimized LiTcPb structure (PBE, Alexandria via LeMat-Bulk).

Lattice parameters (Å, degrees): 7.1788 7.0167 2.9795 80.95 74.85 24.20
Positions (direct):
Li 0.0144 0.0144 0.9856
Pb 0.3230 0.3230 0.6770
Tc 0.6625 0.6625 0.3375

Summary:
For the energy of formation, the calculation gives 0.5496 eV/atom. The calculation puts the energy above the most stable polymorph in this dataset at 124.0 meV/atom. The value obtained for the uncorrected energy is -4.780 eV per atom. As for the crystal system: orthorhombic.

=====

# LiTc4Pb

A geometry-optimized LiTc4Pb structure (PBE, Alexandria via LeMat-Bulk).

Lattice parameters (Å, degrees): 5.2306 5.2306 5.2306 60.00 60.00 60.00
Positions (direct):
Li 0.7500 0.7500 0.7500
Tc 0.8740 0.3753 0.3753
Tc 0.3753 0.3753 0.8740
Tc 0.3753 0.8740 0.3753
Tc 0.3753 0.3753 0.3753
Pb 0.0000 0.0000 0.0000

Summary:
For the energy of formation, the calculation gives 0.4716 eV/atom. The value obtained for the uncorrected energy is -7.376 eV per atom. As for the crystal system: cubic.

=====

# LiTcPb

A geometry-optimized LiTcPb structure (PBE, Alexandria via LeMat-Bulk).

Lattice parameters (Å, degrees): 4.5568 4.5568 2.9009 90.00 90.00 120.00
Positions (direct):
Li 0.0000 0.0000 0.0697
Pb 0.3333 0.6667 0.2653
Tc 0.6667 0.3333 0.6650

Summary:
For the energy of formation, the calculation gives 0.4256 eV/atom. The calculation puts the energy above the most stable polymorph in this dataset at 0.0 meV/atom. The value obtained for the uncorrected energy is -4.904 eV per atom. As for the crystal system: trigonal.